1.
A relaxed structure of Pa2AgPd, computed with GGA-PBE.

Results
Density of states at the Fermi level in states/eV per cell: 7.38
E_tot in eV for the cell shown: -27.40
E above lowest polymorph in eV/atom: 0.000
M_tot in μB per cell: 0.00
Energy of formation in eV per atom: -0.0918

Cell lengths 3.1210, 3.1210, 8.8381 Å; angles 90.00, 90.00, 90.00 degrees
Space group P4/mmm (No. 123)
Inequivalent atoms, fractional coordinates:
1 Pa 0.0000 0.0000 0.2362 (multiplicity 2)
2 Ag 0.5000 0.5000 0.5000 (multiplicity 1)
3 Pd 0.5000 0.5000 0.0000 (multiplicity 1)

2.
A relaxed structure of Pu2AuS, computed with GGA-PBE.

Results
Formation energy from raw total energies in eV per formula unit: -3.23
Density of states at the Fermi level in states/eV per cell: 55.50
E_tot in eV for the cell shown: -117.88
E above lowest polymorph in eV/atom: 0.091
M_tot in μB per cell: 36.02

Cell lengths 3.8491, 3.8491, 23.4127 Å; angles 90.00, 90.00, 120.00 degrees
Space group R3m (No. 160, hexagonal axes)
Inequivalent atoms, fractional coordinates:
1 Pu 0.0000 0.0000 0.0000 (multiplicity 3)
2 Pu 0.0000 0.0000 0.1555 (multiplicity 3)
3 Au 0.0000 0.0000 0.5781 (multiplicity 3)
4 S 0.0000 0.0000 0.4109 (multiplicity 3)

3.
A relaxed structure of RbScC, computed with GGA-PBE.

Results
Density of states at the Fermi level in states/eV per cell: 9.22
E_tot in eV for the cell shown: -60.57
E above lowest polymorph in eV/atom: 0.430
M_tot in μB per cell: 0.00
Energy of formation in eV per atom: 0.4605

Cell lengths 7.1742, 3.8906, 13.4336 Å; angles 90.00, 90.00, 90.00 degrees
Space group Pnma (No. 62)
Inequivalent atoms, fractional coordinates:
1 Rb 0.0778 0.2500 0.1208 (multiplicity 4)
2 Sc 0.0712 0.7500 0.4244 (multiplicity 4)
3 C 0.1699 0.2500 0.4762 (multiplicity 4)

4.
A relaxed structure of Sr2TcRh, computed with GGA-PBE.

Results
Density of states at the Fermi level in states/eV per cell: 8.88
E_tot in eV for the cell shown: -36.66
E above lowest polymorph in eV/atom: 0.473
M_tot in μB per cell: 5.30
Energy of formation in eV per atom: 0.6883

Cell lengths 4.6419, 4.8648, 8.7237 Å; angles 90.00, 90.00, 90.00 degrees
Space group Immm (No. 71)
Inequivalent atoms, fractional coordinates:
1 Sr 0.0000 0.0000 0.2435 (multiplicity 4)
2 Tc 0.0000 0.5000 0.0000 (multiplicity 2)
3 Rh 0.0000 0.5000 0.5000 (multiplicity 2)

5.
A relaxed structure of TcIr3, computed with GGA-PBE.

Results
Density of states at the Fermi level in states/eV per cell: 10.64
E_tot in eV for the cell shown: -111.89
M_tot in μB per cell: 0.00
Energy of formation in eV per atom: -0.0869

Cell lengths 2.7300, 2.7300, 26.9542 Å; angles 90.00, 90.00, 120.00 degrees
Space group R-3m (No. 166, hexagonal axes)
Inequivalent atoms, fractional coordinates:
1 Tc 0.0000 0.0000 0.0000 (multiplicity 3)
2 Ir 0.0000 0.0000 0.2514 (multiplicity 6)
3 Ir 0.0000 0.0000 0.5000 (multiplicity 3)

6.
A relaxed structure of Ac2Al3ZnPt4, computed with GGA-PBE.

Results
Density of states at the Fermi level in states/eV per cell: 6.98
E_tot in eV for the cell shown: -55.11
M_tot in μB per cell: 0.00
Energy of formation in eV per atom: -1.0232

Cell lengths 4.4346, 4.4346, 10.4786 Å; angles 90.00, 90.00, 90.00 degrees
Space group P-4m2 (No. 115)
Inequivalent atoms, fractional coordinates:
1 Ac 0.0000 0.5000 0.2489 (multiplicity 2)
2 Al 0.0000 0.0000 0.0000 (multiplicity 1)
3 Al 0.0000 0.5000 0.6195 (multiplicity 2)
4 Zn 0.5000 0.5000 0.0000 (multiplicity 1)
5 Pt 0.0000 0.0000 0.5000 (multiplicity 1)
6 Pt 0.0000 0.5000 0.8650 (multiplicity 2)
7 Pt 0.5000 0.5000 0.5000 (multiplicity 1)

7.
A relaxed structure of AlMoW2, computed with GGA-PBE.

Results
Density of states at the Fermi level in states/eV per cell: 3.03
E_tot in eV for the cell shown: -39.65
M_tot in μB per cell: 0.00
Energy of formation in eV per atom: 0.2067

Cell lengths 2.7060, 2.7060, 8.6782 Å; angles 90.00, 90.00, 90.00 degrees
Space group P4/mmm (No. 123)
Inequivalent atoms, fractional coordinates:
1 Al 0.0000 0.0000 0.0000 (multiplicity 1)
2 Mo 0.0000 0.0000 0.5000 (multiplicity 1)
3 W 0.5000 0.5000 0.2381 (multiplicity 2)

8.
A relaxed structure of LaScNi2, computed with GGA-PBE.

Results
Density of states at the Fermi level in states/eV per cell: 5.18
E_tot in eV for the cell shown: -23.25
E above lowest polymorph in eV/atom: 0.253
M_tot in μB per cell: 0.00
Energy of formation in eV per atom: -0.1080

Cell lengths 3.3673, 3.3673, 7.0819 Å; angles 90.00, 90.00, 90.00 degrees
Space group P4mm (No. 99)
Inequivalent atoms, fractional coordinates:
1 La 0.0000 0.0000 0.0000 (multiplicity 1)
2 Sc 0.5000 0.5000 0.5832 (multiplicity 1)
3 Ni 0.0000 0.0000 0.4156 (multiplicity 1)
4 Ni 0.5000 0.5000 0.2326 (multiplicity 1)